First-principles (PBE) data for crystalline RbAsPdBr2 at its relaxed geometry, as listed in the Alexandria database.

Unit cell a=6.441 b=6.441 c=6.708 alpha=90.00 beta=90.00 gamma=90.00
Space group P4/mmm (No. 123)
Inequivalent atoms, fractional coordinates:
Rb1 0.000 0.000 0.000
As1 0.000 0.000 0.500
Pd1 0.500 0.500 0.500
Br1 0.000 0.500 0.000

Output
The value obtained for the formation energy (no corrections) is 3.74 eV/f.u. The calculation puts the energy relative to the lowest polymorph listed for this composition at 118.65 kJ/mol of atoms. The raw total energy comes out at -0.15312 Ry per atom.